No. 1
A plane-wave DFT calculation with PBE was carried out for a relaxed AcAg8Pb3 crystal.

abc: 5.7790 5.7790 28.3127
angles: 90.00 90.00 120.00
Space group R3m (No. 160, hexagonal axes)
One atom of each set of equivalent atoms:
Ac  0.0000  0.0000  0.0000 [3 per cell]
Ag  0.0000  0.0000  0.3115 [3 per cell]
Ag  0.0000  0.0000  0.8117 [3 per cell]
Ag  0.0015  0.5008  0.0637 [9 per cell]
Ag  0.1673  0.3347  0.8934 [9 per cell]
Pb  0.0000  0.0000  0.1275 [3 per cell]
Pb  0.0000  0.0000  0.4970 [3 per cell]
Pb  0.0000  0.0000  0.6183 [3 per cell]

Values from the calculation:
Calculated volume ... 818.9 Å³/cell
Spin magnetization ... 0.0 μB/cell

No. 2
A plane-wave DFT calculation with PBE was carried out for a relaxed TbNdTm5 crystal.

abc: 11.520 6.787 11.989
angles: 90.00 109.14 90.00
Space group C2/c (No. 15)
One atom of each set of equivalent atoms:
Tb  0.250  0.250  0.000 [4 per cell]
Nd  0.000  0.025  0.250 [4 per cell]
Tm  0.000  0.410  0.750 [4 per cell]
Tm  0.079  0.280  0.498 [8 per cell]
Tm  0.221  0.359  0.252 [8 per cell]

Values from the calculation:
Calculated volume ... 885.6 Å³/cell
Spin magnetization ... 0.0 μB/cell

No. 3
A plane-wave DFT calculation with PBE was carried out for a relaxed ScPaAgPb crystal.

abc: 7.341 7.341 7.341
angles: 90.00 90.00 90.00
Space group F-43m (No. 216)
One atom of each set of equivalent atoms:
Sc  0.000  0.000  0.000 [4 per cell]
Pa  0.000  0.000  0.500 [4 per cell]
Ag  0.250  0.250  0.250 [4 per cell]
Pb  0.250  0.250  0.750 [4 per cell]

Values from the calculation:
Calculated volume ... 395.7 Å³/cell
Spin magnetization ... 10.3 μB/cell

No. 4
A plane-wave DFT calculation with PBE was carried out for a relaxed TbDyHo2Er5 crystal.

abc: 5.536 19.616 10.478
angles: 90.00 90.00 90.00
Space group Cmc2_1 (No. 36)
One atom of each set of equivalent atoms:
Tb  0.000  0.200  0.000 [4 per cell]
Dy  0.000  0.414  0.444 [4 per cell]
Ho  0.000  0.110  0.726 [4 per cell]
Ho  0.000  0.113  0.308 [4 per cell]
Er  0.000  0.018  0.014 [4 per cell]
Er  0.000  0.282  0.297 [4 per cell]
Er  0.000  0.300  0.697 [4 per cell]
Er  0.000  0.391  0.012 [4 per cell]
Er  0.000  0.479  0.726 [4 per cell]

Values from the calculation:
Calculated volume ... 1137.8 Å³/cell
Spin magnetization ... 0.0 μB/cell

no.,energy (eV/atom),energy relative to the elements (eV per atom)
1,-3.2586,-0.09
2,-4.3340,0.20
3,-5.5405,0.06
4,-4.4199,0.16